# 1
DFT (PBE) results for a geometry-optimized Dy2Y6Hg structure.

**Formation energy from the elements**: 0.0 eV/f.u.
**Final energy**: -5.3660 eV per atom
**Crystal system**: orthorhombic
**DOS at the Fermi energy**: 10.84 states/eV/f.u.

Cell lengths 3.5596, 10.1124, 15.6385 Å; angles 90.00, 90.00, 90.00 degrees
Space group Immm (No. 71)
Inequivalent atoms, fractional coordinates:
Dy 0.0000 0.0000 0.1461 [4 per cell]
Y 0.0000 0.2820 0.5000 [4 per cell]
Y 0.0000 0.3396 0.1798 [8 per cell]
Hg 0.0000 0.5000 0.0000 [2 per cell]

# 2
DFT (PBE) results for a geometry-optimized YAs2W structure.

**Formation energy from the elements**: -0.9 eV/f.u.
**Final energy**: -7.4046 eV per atom
**Polymorph energy (0 for the lowest one)**: 20.6 kJ per mole of atoms
**Crystal system**: orthorhombic
**DOS at the Fermi energy**: 2.06 states/eV/f.u.

Cell lengths 3.5760, 4.2786, 5.3425 Å; angles 90.00, 90.00, 90.00 degrees
Space group Pmmm (No. 47)
Inequivalent atoms, fractional coordinates:
Y 0.0000 0.0000 0.0000 [1 per cell]
As 0.5000 0.5000 0.2433 [2 per cell]
W 0.5000 0.0000 0.5000 [1 per cell]

The highest final energy belongs to which entry?
Dy2Y6Hg

Look up the DOS at the Fermi energy of the second one.
2.06 states/eV/f.u.

Number 1 is which compound?
Dy2Y6Hg

What is the formation energy from the elements in the first record?
0.0 eV/f.u.